Entry from the Alexandria database: an optimized crystal structure of LaBe2Pd2 (PBEsol).

## Properties
calculated density: 7.55 g/cm3
VASP energy: -5.55 eV/atom
total magnetization: 0.00 μB per formula unit
space group: I4/mmm, No. 139
energy of formation: -48.21 kJ per mole of atoms

The structure in POSCAR format:
```
LaBe2Pd2
1.0
-2.0065 2.0065 5.0511
2.0065 -2.0065 5.0511
2.0065 2.0065 -5.0511
La Be Pd
1 2 2
direct
0.0000 0.0000 0.0000
0.2500 0.7500 0.5000
0.7500 0.2500 0.5000
0.3619 0.3619 0.0000
0.6381 0.6381 0.0000
```

***

Entry from the Alexandria database: an optimized crystal structure of LaBePd3 (PBEsol).

## Properties
calculated density: 9.14 g/cm3
VASP energy: -6.06 eV/atom
total magnetization: 0.00 μB per formula unit
space group: Pm-3m, No. 221
energy of formation: -59.65 kJ per mole of atoms

The structure in POSCAR format:
```
LaBePd3
1.0
4.3948 0.0000 0.0000
0.0000 4.3948 0.0000
0.0000 0.0000 4.3948
La Be Pd
1 1 3
direct
0.0000 0.0000 0.0000
0.5000 0.5000 0.5000
0.0000 0.5000 0.5000
0.5000 0.0000 0.5000
0.5000 0.5000 0.0000
```

***

Entry from the Alexandria database: an optimized crystal structure of LaBePd2W (PBEsol).

## Properties
calculated density: 7.56 g/cm3
VASP energy: -4.89 eV/atom
total magnetization: 0.44 μB per formula unit
space group: P4/mmm, No. 123
energy of formation: 205.36 kJ per mole of atoms

The structure in POSCAR format:
```
LaBePd2W
1.0
4.9087 0.0000 0.0000
0.0000 4.9087 0.0000
0.0000 0.0000 4.9668
La Be Pd W
1 1 2 1
direct
0.0000 0.0000 0.0000
0.5000 0.5000 0.5000
0.0000 0.5000 0.0000
0.5000 0.0000 0.0000
0.0000 0.0000 0.5000
```

***

Entry from the Alexandria database: an optimized crystal structure of La2BePt (PBEsol).

## Properties
calculated density: 8.97 g/cm3
VASP energy: -5.70 eV/atom
total magnetization: 0.00 μB per formula unit
space group: P4mm, No. 99
energy of formation: -27.98 kJ per mole of atoms

The structure in POSCAR format:
```
La2BePt
1.0
3.2236 0.0000 0.0000
0.0000 3.2236 0.0000
0.0000 0.0000 8.5894
La Be Pt
2 1 1
direct
0.0000 0.0000 0.0000
0.5000 0.5000 0.4003
0.5000 0.5000 0.7475
0.0000 0.0000 0.6476
```

***

Entry from the Alexandria database: an optimized crystal structure of LaBePt2 (PBEsol).

## Properties
calculated density: 11.92 g/cm3
VASP energy: -6.41 eV/atom
total magnetization: 0.00 μB per formula unit
space group: Immm, No. 71
energy of formation: -56.94 kJ per mole of atoms

The structure in POSCAR format:
```
LaBePt2
1.0
-1.8998 2.7191 3.6270
1.8998 -2.7191 3.6270
1.8998 2.7191 -3.6270
La Be Pt
1 1 2
direct
0.0000 0.0000 0.0000
0.5000 0.5000 0.0000
0.3125 0.8125 0.5000
0.6875 0.1875 0.5000
```

***

Entry from the Alexandria database: an optimized crystal structure of LaBe2Pt2 (PBEsol).

## Properties
calculated density: 11.13 g/cm3
VASP energy: -6.22 eV/atom
total magnetization: 0.00 μB per formula unit
space group: I4/mmm, No. 139
energy of formation: -74.05 kJ per mole of atoms

The structure in POSCAR format:
```
LaBe2Pt2
1.0
-1.9991 1.9991 5.1044
1.9991 -1.9991 5.1044
1.9991 1.9991 -5.1044
La Be Pt
1 2 2
direct
0.0000 0.0000 0.0000
0.2500 0.7500 0.5000
0.7500 0.2500 0.5000
0.3630 0.3630 0.0000
0.6370 0.6370 0.0000
```

***

Entry from the Alexandria database: an optimized crystal structure of La2BePt (PBEsol).

## Properties
calculated density: 8.56 g/cm3
VASP energy: -5.93 eV/atom
total magnetization: 0.00 μB per formula unit
space group: Amm2, No. 38
energy of formation: -49.97 kJ per mole of atoms

The structure in POSCAR format:
```
La2BePt
1.0
4.0831 0.0000 0.0000
0.0000 2.2312 5.1296
0.0000 -2.2312 5.1296
La Be Pt
2 1 1
direct
0.0000 0.0000 0.0000
0.5000 0.3000 0.3000
0.5000 0.6018 0.6018
0.0000 0.7043 0.7043
```

***

Entry from the Alexandria database: an optimized crystal structure of LaBePt2 (PBEsol).

## Properties
calculated density: 13.31 g/cm3
VASP energy: -6.42 eV/atom
total magnetization: 0.00 μB per formula unit
space group: P2/m, No. 10
energy of formation: -58.12 kJ per mole of atoms

The structure in POSCAR format:
```
LaBePt2
1.0
2.9395 0.0000 0.0000
0.0000 3.3087 0.0000
-0.8722 0.0000 6.9008
La Be Pt
1 1 2
direct
0.0000 0.0000 0.0000
0.0000 0.0000 0.5000
0.4267 0.5000 0.6849
0.5733 0.5000 0.3151
```

***

Entry from the Alexandria database: an optimized crystal structure of LaBePt (PBEsol).

## Properties
calculated density: 9.63 g/cm3
VASP energy: -6.15 eV/atom
total magnetization: 0.00 μB per formula unit
space group: P-6m2, No. 187
energy of formation: -68.51 kJ per mole of atoms

The structure in POSCAR format:
```
LaBePt
1.0
4.0637 0.0000 0.0000
-2.0319 3.5193 0.0000
0.0000 0.0000 4.1376
La Be Pt
1 1 1
direct
0.0000 0.0000 0.0000
0.6667 0.3333 0.5000
0.3333 0.6667 0.5000
```

***

Entry from the Alexandria database: an optimized crystal structure of La2BePt (PBEsol).

## Properties
calculated density: 9.11 g/cm3
VASP energy: -5.87 eV/atom
total magnetization: 0.00 μB per formula unit
space group: Imm2, No. 44
energy of formation: -44.44 kJ per mole of atoms

The structure in POSCAR format:
```
La2BePt
1.0
-1.8038 2.3122 5.2656
1.8038 -2.3122 5.2656
1.8038 2.3122 -5.2656
La Be Pt
2 1 1
direct
0.0000 0.0000 0.0000
0.6950 0.1950 0.5000
0.4107 0.4107 0.0000
0.2823 0.7823 0.5000
```

***

Entry from the Alexandria database: an optimized crystal structure of LaBePt3 (PBEsol).

## Properties
calculated density: 14.26 g/cm3
VASP energy: -6.78 eV/atom
total magnetization: 0.00 μB per formula unit
space group: Pm-3m, No. 221
energy of formation: -70.79 kJ per mole of atoms

The structure in POSCAR format:
```
LaBePt3
1.0
4.4030 0.0000 0.0000
0.0000 4.4030 0.0000
0.0000 0.0000 4.4030
La Be Pt
1 1 3
direct
0.0000 0.0000 0.0000
0.5000 0.5000 0.5000
0.0000 0.5000 0.5000
0.5000 0.0000 0.5000
0.5000 0.5000 0.0000
```

***

Entry from the Alexandria database: an optimized crystal structure of LaBePt2 (PBEsol).

## Properties
calculated density: 12.02 g/cm3
VASP energy: -6.66 eV/atom
total magnetization: 0.00 μB per formula unit
space group: R-3m, No. 166
energy of formation: -80.78 kJ per mole of atoms

The structure in POSCAR format:
```
LaBePt2
1.0
2.0323 1.1734 5.1943
-2.0323 1.1734 5.1943
0.0000 -2.3467 5.1943
La Be Pt
1 1 2
direct
0.0000 0.0000 0.0000
0.5000 0.5000 0.5000
0.2102 0.2102 0.2102
0.7898 0.7898 0.7898
```